Model A:
The following is a GGA-PBE calculation of YNi3Pt after structural relaxation, from the Alexandria database.

Lattice parameters (Å, degrees): 4.530 4.530 4.530 90.00 90.00 90.00
Fractional coordinates of all 5 atoms:
Y: 0.000 0.000 0.000
Ni: 0.000 0.000 0.500
Ni: 0.000 0.500 0.000
Ni: 0.500 0.000 0.000
Pt: 0.500 0.500 0.500

Model B:
The following is a GGA-PBE calculation of YNi3Pt after structural relaxation, from the Alexandria database.

Lattice parameters (Å, degrees): 4.604 4.604 4.604 90.00 90.00 90.00
Fractional coordinates of all 5 atoms:
Y: 0.000 0.000 0.000
Ni: 0.000 0.500 0.500
Ni: 0.500 0.000 0.500
Ni: 0.500 0.500 0.000
Pt: 0.500 0.500 0.500

Model C:
The following is a GGA-PBE calculation of YNi3Pt after structural relaxation, from the Alexandria database.

Lattice parameters (Å, degrees): 6.239 6.239 6.239 134.78 111.80 85.66
Fractional coordinates of all 10 atoms:
Y: 0.251 0.001 0.250
Y: 0.749 0.999 0.750
Ni: 0.198 0.000 0.698
Ni: 0.198 0.500 0.198
Ni: 0.451 0.701 0.750
Ni: 0.549 0.299 0.250
Ni: 0.802 0.000 0.302
Ni: 0.802 0.500 0.802
Pt: 0.000 0.500 0.500
Pt: 0.500 0.500 0.000

Energy ordering: model C at the bottom, the next structure 805 meV/atom above.